(1)
Y2ThHgC: relaxed, PBE.

Lattice parameters (Å, degrees): 4.9328 4.9328 5.0450 90.00 90.00 90.00
With the nearest neighbours (Å) after each atom.
Space group P4/mmm (No. 123)
Unique sites:
Y1 0.0000 0.5000 0.0000  2 C 2.47
Th1 0.0000 0.0000 0.5000  2 C 2.52
Hg1 0.5000 0.5000 0.5000  4 Th 3.49, 8 Y 3.53
C1 0.0000 0.0000 0.0000  4 Y 2.47, 2 Th 2.52

Results
ρ   8420 kg/m3
D(E_F)   4.005 states/eV/cell
VASP energy   -6.329 eV/atom
Magnetization   0.0 μB/f.u.
Crystal system   tetragonal

***

(2)
YTh2HgC: relaxed, PBE.

Lattice parameters (Å, degrees): 5.0654 5.0654 4.9493 90.00 90.00 90.00
With the nearest neighbours (Å) after each atom.
Space group P4/mmm (No. 123)
Unique sites:
Y1 0.0000 0.0000 0.0000  2 C 2.47
Th1 0.0000 0.5000 0.5000  2 C 2.53
Hg1 0.5000 0.5000 0.0000  8 Th 3.54, 4 Y 3.58
C1 0.0000 0.0000 0.5000  2 Y 2.47, 4 Th 2.53

Results
ρ   10011 kg/m3
D(E_F)   3.496 states/eV/cell
VASP energy   -6.459 eV/atom
Magnetization   0.0 μB/f.u.
Crystal system   tetragonal

***

(3)
ThZrHgC: relaxed, PBE.

Lattice parameters (Å, degrees): 3.5051 3.5051 23.7075 90.00 90.00 120.00
With the nearest neighbours (Å) after each atom.
Space group R3m (No. 160, hexagonal axes)
Unique sites:
Th1 0.0000 0.0000 0.0000  3 C 2.58
Zr1 0.0000 0.0000 0.7820  3 C 2.32
Hg1 0.0000 0.0000 0.2155  3 Zr 3.12, 3 Th 3.45
C1 0.0000 0.0000 0.4007  3 Zr 2.32, 3 Th 2.58

Results
ρ   10581 kg/m3
D(E_F)   3.353 states/eV/cell
VASP energy   -6.800 eV/atom
Magnetization   0.0 μB/f.u.
Crystal system   trigonal